# Li2CdNi, optimized geometry, DFT PBEsol
# energy: -2.879 eV/atom
# Fermi-level density of states: 0.4270 states/eV/atom
# energy of formation: -0.226 eV per formula unit
data_Li2CdNi
_cell_length_a 9.724
_cell_length_b 2.913
_cell_length_c 4.420
_cell_angle_alpha 90.00
_cell_angle_beta 113.82
_cell_angle_gamma 90.00
_symmetry_space_group_name_H-M 'C 1 2/m 1'
_symmetry_Int_Tables_number 12
_symmetry_space_group_name_Hall '-C 2y'
loop_
_atom_site_label
_atom_site_type_symbol
_atom_site_fract_x
_atom_site_fract_y
_atom_site_fract_z
Li1 Li 0.229 0.000 0.227
Cd1 Cd 0.000 0.000 0.500
Ni1 Ni 0.000 0.500 0.000